# UNi3Ge3 | Alexandria | PBE | optimized geometry
data_UNi3Ge3
_cell_length_a 6.8207
_cell_length_b 6.8207
_cell_length_c 16.4567
_cell_angle_alpha 90.00
_cell_angle_beta 90.00
_cell_angle_gamma 120.00
_space_group_name_H-M_alt 'R -3'
_space_group_IT_number 148
_space_group_name_Hall '-R 3'
loop_
_atom_site_label
_atom_site_fract_x
_atom_site_fract_y
_atom_site_fract_z
U1 0.0000 0.0000 0.1462
Ni1 0.0301 0.7915 0.5612
Ge1 0.0291 0.7524 0.7104
# Volume, Å³ per cell: 663
# Energy, eV/f.u.: -42.94
# Energy above the most stable polymorph in this dataset, meV/atom: 0
# M_tot, μB/cell: 9.982